Record 1
Crystalline UVI2 at its relaxed geometry. Source: the Alexandria database, functional PBE-GGA.

VASP energy ... -5.43 eV/atom
E_form (uncorrected) ... 450 meV/atom
Density ... 8.30 Mg/m³

a = 3.5300 Å, b = 3.5300 Å, c = 10.2707 Å
α = 80.10°, β = 80.10°, γ = 60.00°
Last column: nearest neighbours and their distance in Å.
Atoms (fractional coordinates):
U 0.0000 0.0000 0.0000  2 I 3.18, 6 U 3.53
V 0.5000 0.5000 0.5000  6 I 2.75
I 0.1054 0.1054 0.6837  3 V 2.75
I 0.8946 0.8946 0.3163  3 V 2.75

***

Record 2
Crystalline UVI at its relaxed geometry. Source: the Alexandria database, functional PBE-GGA.

VASP energy ... -7.30 eV/atom
E_form (uncorrected) ... 24 meV/atom
Density ... 8.29 Mg/m³

a = 3.8716 Å, b = 4.1116 Å, c = 11.1970 Å
α = 104.64°, β = 77.97°, γ = 101.68°
Last column: nearest neighbours and their distance in Å.
Atoms (fractional coordinates):
U 0.0119 0.6138 0.8682  1 V 2.17
I 0.6537 0.8592 0.6702  1 V 2.81
U 0.9881 0.3862 0.1318  1 V 2.17
I 0.3463 0.1408 0.3298  1 V 2.81
V 0.4185 0.7790 0.0795  1 U 2.17
V 0.5815 0.2210 0.9205  1 U 2.17

***

Record 3
Crystalline YUI2 at its relaxed geometry. Source: the Alexandria database, functional PBE-GGA.

VASP energy ... -5.41 eV/atom
E_form (uncorrected) ... -196 meV/atom
Density ... 7.44 Mg/m³

a = 3.7060 Å, b = 3.7060 Å, c = 11.0994 Å
α = 80.39°, β = 80.39°, γ = 60.00°
Last column: nearest neighbours and their distance in Å.
Atoms (fractional coordinates):
U 0.0000 0.0000 0.0000  2 I 3.19
Y 0.5000 0.5000 0.5000  6 I 3.11
I 0.9023 0.9023 0.2932  3 Y 3.11, 1 U 3.19
I 0.0977 0.0977 0.7068  3 Y 3.11, 1 U 3.19

***

Record 4
Crystalline ZrUI2 at its relaxed geometry. Source: the Alexandria database, functional PBE-GGA.

VASP energy ... -5.71 eV/atom
E_form (uncorrected) ... 28 meV/atom
Density ... 8.45 Mg/m³

a = 3.5319 Å, b = 3.5319 Å, c = 10.7991 Å
α = 80.59°, β = 80.59°, γ = 60.00°
Last column: nearest neighbours and their distance in Å.
Atoms (fractional coordinates):
I 0.9005 0.9005 0.2986  3 Zr 2.95, 1 U 3.17
U 0.0000 0.0000 0.0000  2 I 3.17, 6 U 3.53
Zr 0.5000 0.5000 0.5000  6 I 2.95
I 0.0995 0.0995 0.7014  3 Zr 2.95, 1 U 3.17